Entry from Alexandria: Sr2LiGa7 after structural relaxation (PBE-GGA).

```
data_Sr2LiGa7
_space_group_name_H-M_alt 'P -4 m 2'
_space_group_IT_number 115
_cell_length_a 4.408
_cell_length_b 4.408
_cell_length_c 11.067
_cell_angle_alpha 90.00
_cell_angle_beta 90.00
_cell_angle_gamma 90.00
loop_
_space_group_symop_operation_xyz
'x,y,z'
'y,-x,-z'
'-x,-y,z'
'-y,x,-z'
'-x,y,z'
'-y,-x,-z'
'x,-y,z'
'y,x,-z'
loop_
_atom_site_label
_atom_site_fract_x
_atom_site_fract_y
_atom_site_fract_z
Sr1 0.000 0.500 0.247
Li1 0.000 0.000 0.500
Ga1 0.000 0.000 0.000
Ga2 0.000 0.500 0.632
Ga3 0.000 0.500 0.864
Ga4 0.500 0.500 0.000
Ga5 0.500 0.500 0.500
```

## Properties
As for the density of states at the Fermi level: 1.9 states/eV per cell. The value obtained for the formation energy is -0.425 eV/atom.